Record 1
VASP calculation (PBE) on an optimized crystal structure of Sc4Al2O.

Unit cell a=4.276 b=4.276 c=8.067 alpha=74.63 beta=74.63 gamma=90.00
Element x y z (fractional)
Sc 0.000 0.500 0.000
Sc 0.163 0.163 0.674
Sc 0.837 0.837 0.326
Sc 0.500 0.000 0.000
O 0.000 0.000 0.000
Al 0.639 0.639 0.723
Al 0.361 0.361 0.277

crystal system: tetragonal
electronic total energy: -0.474 Ry per atom
V: 19.54 Å³/atom
magnetic moment: 0.00 μB per formula unit
ΔE_f (raw): -1.047 eV per atom



Record 2
VASP calculation (PBE) on an optimized crystal structure of La2CoP.

Unit cell a=7.325 b=7.325 c=6.479 alpha=55.57 beta=55.57 gamma=90.00
Element x y z (fractional)
La 0.375 0.350 0.750
La 0.650 0.125 0.250
La 0.100 0.625 0.250
La 0.875 0.900 0.750
P 0.500 0.500 0.000
P 0.250 0.750 0.500
Co 0.750 0.250 0.500
Co 0.000 0.000 0.000

DFT formation energy: -0.389 eV per atom
crystal system: tetragonal
electronic total energy: -0.440 Ry per atom
V: 26.10 Å³/atom
magnetic moment: 0.00 μB per formula unit



Number 2 is which compound? La2CoP